ScV2NiO8 | GGA+U | relaxed

Calculated values
raw total energy: -7.16 eV/atom

abc: 5.6991 5.6991 5.5821
angles: 90.00 90.00 120.00
Space group P-3m1 (No. 164)
Symmetry-distinct sites (fractional):
Sc1 0.0000 0.0000 0.0000 x1
V1 0.3333 0.6667 0.6607 x2
Ni1 0.0000 0.0000 0.5000 x1
O1 0.1585 0.3171 0.7464 x6
O2 0.3333 0.6667 0.3668 x2